Computed, not measured: a relaxed CaTbMo2O8 crystal at the PBE with a Hubbard U level of DFT.

abc: 5.2650 5.2650 6.8233
angles: 112.69 112.69 90.00
With the nearest neighbours (Å) after each atom.
Fractional positions:
Ca: 0.0000 0.0000 0.0000  8 O 2.45-2.48
Tb: 0.7500 0.2500 0.5000  8 O 2.33-2.47
Mo: 0.5000 0.5000 0.0000  4 O 1.81
Mo: 0.2500 0.7500 0.5000  4 O 1.88
O: 0.7435 0.8281 0.1704  1 Mo 1.81
O: 0.4269 0.3423 0.1704  1 Mo 1.81
O: 0.5898 0.6584 0.6624  1 Mo 1.88
O: 0.0727 0.0041 0.6624  1 Mo 1.88
O: 0.9959 0.4102 0.3376  1 Mo 1.88
O: 0.3416 0.9273 0.3376  1 Mo 1.88
O: 0.1719 0.5731 0.8296  1 Mo 1.81
O: 0.6577 0.2565 0.8296  1 Mo 1.81

## Properties
Total moment (μB/cell): 1.00
Electronic total energy (eV per atom): -7.405
V (Å³ per atom): 13.21